VASP calculation (PBE+U) on a geometry-optimized MoPO6 structure.

```
MoPO6
1.0
5.279 -0.820 -0.068
-2.725 4.595 -0.068
-0.538 -0.795 4.452
O Mo P
6 1 1
Direct
0.265 0.265 0.731
0.842 0.597 0.723
0.597 0.842 0.723
0.403 0.158 0.277
0.158 0.403 0.277
0.735 0.735 0.269
0.000 0.000 0.000
0.500 0.500 0.500
```

Properties
SG   C2/m
E   -6.50 eV/atom